{"formula": "ZnSbPbF", "functional": "PBE", "state": "optimized geometry", "e_tot_ev_per_atom": -3.402, "spacegroup": "No. 55", "e_above_lowest_polymorph_kj_per_mol_atoms": 18.14, "lattice_angstrom": [[-6.0327, -2.4843, -6.9809], [5.6932, -17.8836, 1.4442], [-3.0590, -0.7391, 2.9065]], "species": ["Zn", "Zn", "Zn", "Zn", "Zn", "Zn", "Zn", "Zn", "Sb", "Sb", "Sb", "Sb", "Sb", "Sb", "Sb", "Sb", "Pb", "Pb", "Pb", "Pb", "Pb", "Pb", "Pb", "Pb", "F", "F", "F", "F", "F", "F", "F", "F"], "fractional_positions": [[0.9253, 0.8875, 0.0000], [0.0747, 0.1125, 0.0000], [0.5747, 0.3875, 0.0000], [0.4253, 0.6125, 0.0000], [0.8940, 0.4120, 0.0000], [0.3940, 0.0880, 0.0000], [0.1060, 0.5880, 0.0000], [0.6060, 0.9120, 0.0000], [0.2977, 0.4893, 0.0000], [0.7385, 0.7775, 0.0000], [0.2615, 0.2225, 0.0000], [0.2385, 0.7225, 0.0000], [0.7615, 0.2775, 0.0000], [0.7977, 0.0107, 0.0000], [0.2023, 0.9893, 0.0000], [0.7023, 0.5107, 0.0000], [0.0119, 0.7308, 0.5000], [0.4881, 0.2308, 0.5000], [0.9881, 0.2692, 0.5000], [0.2576, 0.8882, 0.5000], [0.2424, 0.3882, 0.5000], [0.7576, 0.6118, 0.5000], [0.5119, 0.7692, 0.5000], [0.7424, 0.1118, 0.5000], [0.4954, 0.6323, 0.5000], [0.0046, 0.1323, 0.5000], [0.4754, 0.0914, 0.5000], [0.0246, 0.5914, 0.5000], [0.5246, 0.9086, 0.5000], [0.9754, 0.4086, 0.5000], [0.5046, 0.3677, 0.5000], [0.9954, 0.8677, 0.5000]]}